Compound: Ce3Sc5O12
Source: the Alexandria database
Functional: PBE
Structure: optimized geometry

abc: 11.376 11.376 11.376
angles: 109.47 109.47 109.47
Fractional positions:
Ce1 0.125 0.250 0.875
O1 0.375 0.970 0.793
O2 0.095 0.919 0.125
O3 0.030 0.405 0.823
Sc1 0.250 0.375 0.625
Sc2 0.125 0.375 0.250
O4 0.823 0.919 0.293
O5 0.823 0.905 0.030
Sc3 0.625 0.875 0.250
O6 0.405 0.030 0.323
Ce2 0.875 0.125 0.250
O7 0.581 0.707 0.677
O8 0.919 0.823 0.793
Sc4 0.375 0.250 0.125
O9 0.625 0.595 0.919
Sc5 0.875 0.625 0.750
O10 0.595 0.970 0.677
O11 0.875 0.581 0.905
Ce3 0.250 0.625 0.875
Sc6 0.750 0.625 0.375
O12 0.919 0.095 0.625
O13 0.905 0.823 0.530
O14 0.707 0.125 0.030
Sc7 0.000 0.000 0.500
O15 0.207 0.677 0.081
O16 0.793 0.323 0.919
O17 0.207 0.530 0.625
O18 0.707 0.581 0.177
Ce4 0.750 0.875 0.625
Ce5 0.375 0.750 0.625
Ce6 0.750 0.375 0.125
O19 0.875 0.293 0.470
O20 0.419 0.293 0.323
Sc8 0.500 0.000 0.000
Sc9 0.375 0.125 0.750
Ce7 0.250 0.125 0.375
Ce8 0.375 0.625 0.250
O21 0.125 0.419 0.095
O22 0.323 0.530 0.405
O23 0.530 0.323 0.905
Ce9 0.875 0.750 0.125
Sc10 0.125 0.750 0.375
Sc11 0.625 0.750 0.875
Sc12 0.500 0.500 0.000
Ce10 0.625 0.375 0.750
O24 0.177 0.095 0.970
Ce11 0.625 0.250 0.375
O25 0.081 0.177 0.207
O26 0.970 0.595 0.177
O27 0.095 0.177 0.470
Sc13 0.250 0.875 0.125
O28 0.293 0.875 0.970
O29 0.581 0.875 0.405
O30 0.595 0.625 0.419
O31 0.677 0.470 0.595
O32 0.470 0.793 0.875
O33 0.081 0.905 0.375
O34 0.405 0.375 0.581
O35 0.677 0.207 0.581
O36 0.419 0.125 0.595
Sc14 0.000 0.000 0.000
Sc15 0.875 0.250 0.625
Sc16 0.750 0.125 0.875
Sc17 0.500 0.000 0.500
O37 0.625 0.030 0.207
O38 0.470 0.677 0.095
O39 0.177 0.081 0.707
Sc18 0.000 0.500 0.000
O40 0.030 0.625 0.707
O41 0.125 0.707 0.530
O42 0.905 0.081 0.875
O43 0.293 0.419 0.823
O44 0.970 0.375 0.293
O45 0.793 0.470 0.375
Sc19 0.000 0.500 0.500
Ce12 0.125 0.875 0.750
Sc20 0.500 0.500 0.500
O46 0.375 0.405 0.081
O47 0.530 0.207 0.125
O48 0.323 0.793 0.419

Output
E_form (uncorrected): -68.0 eV/f.u.
Magnetization: 3.01 μB/f.u.
D(E_F): 71.97 states/eV/cell
Raw total energy: -8.847 eV/atom

---

Compound: Sr2BeCoPd
Source: the Alexandria database
Functional: PBE
Structure: optimized geometry

abc: 5.591 4.577 5.591
angles: 90.00 90.00 90.00
Fractional positions:
Co1 0.000 0.000 0.000
Sr1 0.500 0.000 0.000
Sr2 0.000 0.000 0.500
Pd1 0.000 0.500 0.000
Be1 0.500 0.500 0.500

Output
Magnetization: 1.13 μB/f.u.
Energy relative to the elements: 0.572 eV/atom
D(E_F): 4.72 states/eV/cell
Raw total energy: -3.305 eV/atom

---

Compound: Ce5PmSn4
Source: the Alexandria database
Functional: PBE
Structure: optimized geometry

abc: 5.718 6.597 9.558
angles: 122.89 107.40 90.00
Fractional positions:
Sn1 0.907 0.628 0.815
Ce1 0.122 0.912 0.244
Ce2 0.714 0.623 0.428
Sn2 0.304 0.910 0.608
Sn3 0.696 0.090 0.392
Ce3 0.878 0.088 0.756
Pm1 0.500 0.000 0.000
Sn4 0.093 0.372 0.185
Ce4 0.500 0.500 0.000
Ce5 0.286 0.377 0.572

Output
Magnetization: 4.29 μB/f.u.
Energy relative to the elements: -0.537 eV/atom
D(E_F): 24.65 states/eV/cell
Raw total energy: -5.580 eV/atom

---

Compound: Mg2H5Rh2
Source: the Alexandria database
Functional: PBE
Structure: optimized geometry

abc: 3.511 5.264 4.782
angles: 107.23 90.00 109.48
Fractional positions:
Mg1 0.396 0.793 0.681
H1 0.000 0.000 0.000
Mg2 0.604 0.207 0.319
H2 0.188 0.376 0.525
H3 0.690 0.379 0.889
Rh1 0.126 0.251 0.803
Rh2 0.874 0.749 0.197
H4 0.310 0.621 0.111
H5 0.812 0.624 0.475

Output
Magnetization: 0.00 μB/f.u.
D(E_F): 1.48 states/eV/cell
Raw total energy: -4.135 eV/atom

---

Compound: SrMgGa4Au2
Source: the Alexandria database
Functional: PBE
Structure: optimized geometry

abc: 4.487 4.487 10.128
angles: 77.20 77.20 60.00
Fractional positions:
Au1 0.223 0.223 0.331
Ga1 0.882 0.882 0.355
Au2 0.777 0.777 0.669
Mg1 0.500 0.500 0.500
Ga2 0.118 0.118 0.645
Ga3 0.400 0.400 0.800
Ga4 0.600 0.600 0.200
Sr1 0.000 0.000 0.000

Output
Magnetization: 0.00 μB/f.u.
Energy relative to the elements: -0.348 eV/atom
D(E_F): 2.09 states/eV/cell
Raw total energy: -3.090 eV/atom

---

Compound: Tc2MoPb
Source: the Alexandria database
Functional: PBE
Structure: optimized geometry

abc: 2.978 4.033 5.860
angles: 90.00 90.00 90.00
Fractional positions:
Tc1 0.000 0.000 0.046
Pb1 0.500 0.500 0.750
Tc2 0.000 0.000 0.454
Mo1 0.500 0.500 0.250

Output
Magnetization: 0.00 μB/f.u.
Energy relative to the elements: 0.481 eV/atom
D(E_F): 3.78 states/eV/cell
Raw total energy: -8.337 eV/atom

---

Compound: In2SnGe
Source: the Alexandria database
Functional: PBE
Structure: optimized geometry

abc: 4.724 4.641 4.641
angles: 90.00 90.00 90.00
Fractional positions:
In1 0.000 0.500 0.000
In2 0.000 0.000 0.500
Sn1 0.500 0.500 0.500
Ge1 0.500 0.000 0.000

Output
Magnetization: 0.00 μB/f.u.
Energy relative to the elements: 0.133 eV/atom
D(E_F): 1.86 states/eV/cell
Raw total energy: -3.391 eV/atom

---

Compound: CdCoMo
Source: the Alexandria database
Functional: PBE
Structure: optimized geometry

abc: 4.160 4.160 4.160
angles: 60.00 60.00 60.00
Fractional positions:
Cd1 0.500 0.500 0.500
Mo1 0.000 0.000 0.000
Co1 0.750 0.750 0.750

Output
Magnetization: 0.55 μB/f.u.
Energy relative to the elements: 0.595 eV/atom
D(E_F): 5.07 states/eV/cell
Raw total energy: -5.689 eV/atom

---

Compound: KCa
Source: the Alexandria database
Functional: PBE
Structure: optimized geometry

abc: 15.022 15.022 4.009
angles: 90.00 90.00 90.00
Fractional positions:
K1 0.663 0.370 0.500
K2 0.370 0.337 0.500
Ca1 0.922 0.299 0.500
K3 0.128 0.441 0.000
Ca2 0.299 0.078 0.500
K4 0.630 0.663 0.500
Ca3 0.092 0.156 0.000
Ca4 0.844 0.092 0.000
Ca5 0.701 0.922 0.500
K5 0.337 0.630 0.500
Ca6 0.156 0.908 0.000
K6 0.872 0.559 0.000
Ca7 0.078 0.701 0.500
K7 0.559 0.128 0.000
K8 0.441 0.872 0.000
Ca8 0.908 0.844 0.000

Output
Magnetization: 0.00 μB/f.u.
Energy relative to the elements: 0.165 eV/atom
D(E_F): 16.95 states/eV/cell
Raw total energy: -1.384 eV/atom

---

Compound: SrTl4Os
Source: the Alexandria database
Functional: PBE
Structure: optimized geometry

abc: 6.150 6.150 6.150
angles: 60.00 60.00 60.00
Fractional positions:
Tl1 0.376 0.376 0.376
Tl2 0.376 0.376 0.872
Tl3 0.872 0.376 0.376
Sr1 0.000 0.000 0.000
Os1 0.750 0.750 0.750
Tl4 0.376 0.872 0.376

Output
Magnetization: 0.67 μB/f.u.
Energy relative to the elements: 0.707 eV/atom
D(E_F): 4.02 states/eV/cell
Raw total energy: -3.023 eV/atom

---

Compound: PmSm3Th2P6
Source: the Alexandria database
Functional: PBE
Structure: optimized geometry

abc: 7.152 7.152 7.129
angles: 99.60 99.60 120.05
Fractional positions:
Sm1 0.500 0.500 0.500
Sm2 0.834 0.166 0.500
P1 0.418 0.083 0.250
Th1 0.333 0.667 0.000
P2 0.083 0.418 0.250
P3 0.917 0.582 0.750
P4 0.748 0.748 0.250
P5 0.252 0.252 0.750
Pm1 0.000 0.000 0.000
Sm3 0.166 0.834 0.500
P6 0.582 0.917 0.750
Th2 0.667 0.333 0.000

Output
Magnetization: 0.00 μB/f.u.
Energy relative to the elements: -1.592 eV/atom
D(E_F): 2.26 states/eV/cell
Raw total energy: -7.109 eV/atom

---

Compound: K3Pu2GaO9
Source: the Alexandria database
Functional: PBE
Structure: optimized geometry

abc: 5.843 5.843 7.198
angles: 90.00 90.00 120.00
Fractional positions:
O1 0.000 0.500 0.000
K1 0.667 0.333 0.339
K2 0.333 0.667 0.661
K3 0.000 0.000 0.000
O2 0.500 0.500 0.000
O3 0.669 0.835 0.335
Ga1 0.000 0.000 0.500
O4 0.500 0.000 0.000
O5 0.331 0.165 0.665
O6 0.165 0.331 0.335
O7 0.835 0.669 0.665
O8 0.835 0.165 0.665
Pu1 0.667 0.333 0.821
O9 0.165 0.835 0.335
Pu2 0.333 0.667 0.179

Output
E_form (uncorrected): -33.3 eV/f.u.
Magnetization: 4.00 μB/f.u.
D(E_F): 8.62 states/eV/cell
Raw total energy: -7.524 eV/atom

---

The lowest raw total energy belongs to which entry?
Ce3Sc5O12

---

Number 4 is which compound?
Mg2H5Rh2

---

Copy entry 5 word for word.
Compound: SrMgGa4Au2
Source: the Alexandria database
Functional: PBE
Structure: optimized geometry

abc: 4.487 4.487 10.128
angles: 77.20 77.20 60.00
Fractional positions:
Au1 0.223 0.223 0.331
Ga1 0.882 0.882 0.355
Au2 0.777 0.777 0.669
Mg1 0.500 0.500 0.500
Ga2 0.118 0.118 0.645
Ga3 0.400 0.400 0.800
Ga4 0.600 0.600 0.200
Sr1 0.000 0.000 0.000

Output
Magnetization: 0.00 μB/f.u.
Energy relative to the elements: -0.348 eV/atom
D(E_F): 2.09 states/eV/cell
Raw total energy: -3.090 eV/atom